1.
## CaNb2ZnCl (PBE)

Data for CaNb2ZnCl after structural relaxation.

## Properties
E_form (uncorrected) ... 890 meV/atom

Cell: 4.8444 5.9505 4.8444 Å, 90.00 90.00 90.00°
Fractional coordinates of all 5 atoms:
Nb1 0.5000 0.0000 0.0000
Nb2 0.0000 0.0000 0.5000
Cl1 0.5000 0.5000 0.5000
Zn1 0.0000 0.0000 0.0000
Ca1 0.0000 0.5000 0.0000

2.
## TbYIr (PBE)

Data for TbYIr after structural relaxation.

## Properties
ΔE_f ... -0.553 eV/atom
Excess energy over the best structure of this formula in the dataset ... 123 meV/atom

Cell: 3.4824 3.4824 6.8557 Å, 104.71 104.71 90.00°
Fractional coordinates of all 3 atoms:
Tb1 0.0395 0.0395 0.0790
Y1 0.2943 0.2943 0.5886
Ir1 0.6662 0.6662 0.3323

| no. | Fermi-level density of states (states/eV/f.u.) |
| --- | --- |
| 1 | 5.63 |
| 2 | 3.22 |